Entry 1:
DFT (PBE-GGA) results for an optimized crystal structure of Pm5ZnNi4.

abc: 3.500 3.500 17.639
angles: 90.00 90.00 90.00
Space group P4/mmm (No. 123)
Symmetry-distinct sites (fractional):
Pm 0.000 0.000 0.000 [1 per cell]
Pm 0.000 0.000 0.195 [2 per cell]
Pm 0.000 0.000 0.389 [2 per cell]
Zn 0.500 0.500 0.500 [1 per cell]
Ni 0.500 0.500 0.098 [2 per cell]
Ni 0.500 0.500 0.296 [2 per cell]



Entry 2:
DFT (PBE-GGA) results for an optimized crystal structure of Pm3Zn2Ni7.

abc: 5.1753 5.1753 24.2963
angles: 90.00 90.00 120.00
Space group R-3m (No. 166, hexagonal axes)
Symmetry-distinct sites (fractional):
Pm 0.0000 0.0000 0.0000 [3 per cell]
Pm 0.0000 0.0000 0.1397 [6 per cell]
Zn 0.0000 0.0000 0.3325 [6 per cell]
Ni 0.0000 0.0000 0.5000 [3 per cell]
Ni 0.0030 0.5015 0.0825 [18 per cell]



Entry 3:
DFT (PBE-GGA) results for an optimized crystal structure of Pm5Zn4Ni.

abc: 3.620 3.620 18.160
angles: 90.00 90.00 90.00
Space group P4/mmm (No. 123)
Symmetry-distinct sites (fractional):
Pm 0.000 0.000 0.000 [1 per cell]
Pm 0.000 0.000 0.204 [2 per cell]
Pm 0.000 0.000 0.409 [2 per cell]
Zn 0.500 0.500 0.103 [2 per cell]
Zn 0.500 0.500 0.304 [2 per cell]
Ni 0.500 0.500 0.500 [1 per cell]



Entry 4:
DFT (PBE-GGA) results for an optimized crystal structure of Pm3ZnNi8.

abc: 5.0436 5.0436 24.8614
angles: 90.00 90.00 120.00
Space group R3m (No. 160, hexagonal axes)
Symmetry-distinct sites (fractional):
Pm 0.0000 0.0000 0.0000 [3 per cell]
Pm 0.0000 0.0000 0.1288 [3 per cell]
Pm 0.0000 0.0000 0.6134 [3 per cell]
Zn 0.0000 0.0000 0.4914 [3 per cell]
Ni 0.0000 0.0000 0.3103 [3 per cell]
Ni 0.0000 0.0000 0.8109 [3 per cell]
Ni 0.0032 0.5016 0.0620 [9 per cell]
Ni 0.0033 0.5016 0.5590 [9 per cell]



Entry 5:
DFT (PBE-GGA) results for an optimized crystal structure of PmZn2Ni.

abc: 4.043 9.648 7.381
angles: 90.00 90.00 90.00
Space group Cmcm (No. 63)
Symmetry-distinct sites (fractional):
Pm 0.000 0.063 0.250 [4 per cell]
Zn 0.000 0.347 0.054 [8 per cell]
Ni 0.000 0.220 0.750 [4 per cell]

Results
Energy above the most stable polymorph in this dataset in meV per atom: 0



Entry 6:
DFT (PBE-GGA) results for an optimized crystal structure of Pm2Zn2Ni.

abc: 11.041 3.923 11.549
angles: 90.00 116.95 90.00
Space group C2/m (No. 12)
Symmetry-distinct sites (fractional):
Pm 0.064 0.000 0.356 [4 per cell]
Pm 0.205 0.000 0.119 [4 per cell]
Zn 0.012 0.500 0.884 [4 per cell]
Zn 0.127 0.500 0.585 [4 per cell]
Ni 0.228 0.500 0.310 [4 per cell]



Entry 7:
DFT (PBE-GGA) results for an optimized crystal structure of PmZn4Ni.

abc: 7.394 7.394 7.394
angles: 90.00 90.00 90.00
Space group F-43m (No. 216)
Symmetry-distinct sites (fractional):
Pm 0.000 0.000 0.000 [4 per cell]
Zn 0.124 0.124 0.376 [16 per cell]
Ni 0.250 0.250 0.750 [4 per cell]

Results
Energy above the most stable polymorph in this dataset in meV per atom: 153



Entry 8:
DFT (PBE-GGA) results for an optimized crystal structure of Pm3Zn7Ni4.

abc: 15.006 4.220 9.191
angles: 90.00 123.80 90.00
Space group C2/m (No. 12)
Symmetry-distinct sites (fractional):
Pm 0.000 0.000 0.000 [2 per cell]
Pm 0.196 0.500 0.703 [4 per cell]
Zn 0.000 0.000 0.500 [2 per cell]
Zn 0.006 0.500 0.290 [4 per cell]
Zn 0.145 0.000 0.414 [4 per cell]
Zn 0.176 0.500 0.019 [4 per cell]
Ni 0.113 0.000 0.827 [4 per cell]
Ni 0.169 0.500 0.289 [4 per cell]



Entry 9:
DFT (PBE-GGA) results for an optimized crystal structure of Pm8ZnNi2.

abc: 18.191 5.195 6.819
angles: 90.00 109.54 90.00
Space group C2/m (No. 12)
Symmetry-distinct sites (fractional):
Pm 0.033 0.000 0.287 [4 per cell]
Pm 0.094 0.500 0.978 [4 per cell]
Pm 0.179 0.500 0.507 [4 per cell]
Pm 0.197 0.000 0.845 [4 per cell]
Zn 0.000 0.500 0.500 [2 per cell]
Ni 0.171 0.000 0.227 [4 per cell]

Results
Energy above the most stable polymorph in this dataset in meV per atom: 0



Entry 10:
DFT (PBE-GGA) results for an optimized crystal structure of Pm2Zn7Ni.

abc: 4.209 4.209 10.449
angles: 90.00 90.00 90.00
Space group P-4m2 (No. 115)
Symmetry-distinct sites (fractional):
Pm 0.000 0.500 0.241 [2 per cell]
Zn 0.000 0.000 0.000 [1 per cell]
Zn 0.000 0.000 0.500 [1 per cell]
Zn 0.000 0.500 0.638 [2 per cell]
Zn 0.000 0.500 0.875 [2 per cell]
Zn 0.500 0.500 0.500 [1 per cell]
Ni 0.500 0.500 0.000 [1 per cell]



Entry 11:
DFT (PBE-GGA) results for an optimized crystal structure of Pm12ZnNi5.

abc: 9.498 9.873 10.091
angles: 90.00 90.00 90.00
Space group Immm (No. 71)
Symmetry-distinct sites (fractional):
Pm 0.000 0.189 0.214 [8 per cell]
Pm 0.196 0.500 0.175 [8 per cell]
Pm 0.205 0.321 0.500 [8 per cell]
Zn 0.000 0.000 0.500 [2 per cell]
Ni 0.000 0.000 0.000 [2 per cell]
Ni 0.000 0.364 0.000 [4 per cell]
Ni 0.000 0.500 0.375 [4 per cell]



Entry 12:
DFT (PBE-GGA) results for an optimized crystal structure of PmZn6Ni12.

abc: 10.4966 10.4966 8.1472
angles: 90.00 90.00 120.00
Space group R-3m (No. 166, hexagonal axes)
Symmetry-distinct sites (fractional):
Pm 0.0000 0.0000 0.0000 [3 per cell]
Zn 0.0526 0.5263 0.2392 [18 per cell]
Ni 0.0000 0.3899 0.5000 [18 per cell]
Ni 0.0826 0.1652 0.2970 [18 per cell]



Entry 13:
DFT (PBE-GGA) results for an optimized crystal structure of Pm2Zn3Ni5.

abc: 9.781 12.239 5.450
angles: 90.00 90.00 90.00
Space group Ibam (No. 72)
Symmetry-distinct sites (fractional):
Pm 0.235 0.127 0.000 [8 per cell]
Zn 0.000 0.500 0.250 [4 per cell]
Zn 0.090 0.146 0.500 [8 per cell]
Ni 0.000 0.000 0.250 [4 per cell]
Ni 0.000 0.295 0.250 [8 per cell]
Ni 0.165 0.388 0.000 [8 per cell]



Entry 14:
DFT (PBE-GGA) results for an optimized crystal structure of PmZn2Ni5.

abc: 3.732 6.397 9.793
angles: 90.00 90.00 90.00
Space group Immm (No. 71)
Symmetry-distinct sites (fractional):
Pm 0.000 0.000 0.000 [2 per cell]
Zn 0.000 0.500 0.241 [4 per cell]
Ni 0.000 0.189 0.373 [8 per cell]
Ni 0.000 0.500 0.000 [2 per cell]



Entry 15:
DFT (PBE-GGA) results for an optimized crystal structure of Pm2ZnNi3.

abc: 3.934 3.970 14.751
angles: 90.00 90.00 90.00
Space group Imm2 (No. 44)
Symmetry-distinct sites (fractional):
Pm 0.000 0.000 0.000 [2 per cell]
Pm 0.000 0.500 0.266 [2 per cell]
Zn 0.000 0.000 0.594 [2 per cell]
Ni 0.000 0.000 0.429 [2 per cell]
Ni 0.000 0.500 0.686 [2 per cell]
Ni 0.000 0.500 0.844 [2 per cell]

Results
Energy above the most stable polymorph in this dataset in meV per atom: 0



Entry 16:
DFT (PBE-GGA) results for an optimized crystal structure of PmZn2Ni.

abc: 3.194 3.194 6.918
angles: 90.00 90.00 90.00
Space group P4/mmm (No. 123)
Symmetry-distinct sites (fractional):
Pm 0.000 0.000 0.000 [1 per cell]
Zn 0.500 0.500 0.318 [2 per cell]
Ni 0.000 0.000 0.500 [1 per cell]

Results
Energy above the most stable polymorph in this dataset in meV per atom: 214



Entry 17:
DFT (PBE-GGA) results for an optimized crystal structure of PmZnNi4.

abc: 6.991 6.991 6.991
angles: 90.00 90.00 90.00
Space group F-43m (No. 216)
Symmetry-distinct sites (fractional):
Pm 0.000 0.000 0.000 [4 per cell]
Zn 0.250 0.250 0.250 [4 per cell]
Ni 0.124 0.124 0.624 [16 per cell]



Entry 18:
DFT (PBE-GGA) results for an optimized crystal structure of Pm4ZnNi.

abc: 4.794 4.791 7.238
angles: 90.00 90.22 90.00
Space group Pm (No. 6)
Symmetry-distinct sites (fractional):
Pm 0.000 0.000 0.000 [1 per cell]
Pm 0.001 0.500 0.416 [1 per cell]
Pm 0.499 0.500 0.775 [1 per cell]
Pm 0.502 0.000 0.416 [1 per cell]
Zn 0.499 0.500 0.162 [1 per cell]
Ni 0.006 0.000 0.629 [1 per cell]

Results
Energy above the most stable polymorph in this dataset in meV per atom: 105



Entry 19:
DFT (PBE-GGA) results for an optimized crystal structure of Pm2Zn6Ni3.

abc: 7.4905 7.4905 3.9383
angles: 90.00 90.00 120.00
Space group P-62m (No. 189)
Symmetry-distinct sites (fractional):
Pm 0.3333 0.6667 0.0000 [2 per cell]
Zn 0.0000 0.2821 0.5000 [3 per cell]
Zn 0.0000 0.8018 0.0000 [3 per cell]
Ni 0.0000 0.6105 0.5000 [3 per cell]



Entry 20:
DFT (PBE-GGA) results for an optimized crystal structure of Pm2Zn4Ni5.

abc: 5.352 8.930 15.008
angles: 90.00 90.00 90.00
Space group Fmmm (No. 69)
Symmetry-distinct sites (fractional):
Pm 0.000 0.000 0.132 [8 per cell]
Zn 0.000 0.158 0.371 [16 per cell]
Ni 0.000 0.000 0.500 [4 per cell]
Ni 0.250 0.250 0.000 [8 per cell]
Ni 0.250 0.250 0.250 [8 per cell]



Number 1: energy of formation -0.263 eV/atom, ρ 7.878 g cm⁻³. Number 2: energy of formation -0.370 eV/atom, ρ 8.633 g cm⁻³. Number 3: energy of formation -0.306 eV/atom, ρ 7.294 g cm⁻³. Number 4: energy of formation -0.340 eV/atom, ρ 8.822 g cm⁻³. Number 5: energy of formation -0.391 eV/atom, ρ 7.718 g cm⁻³. Number 6: energy of formation -0.330 eV/atom, ρ 7.143 g cm⁻³. Number 7: energy of formation -0.153 eV/atom, ρ 7.647 g cm⁻³. Number 8: energy of formation -0.350 eV/atom, ρ 7.742 g cm⁻³. Number 9: energy of formation -0.157 eV/atom, ρ 7.342 g cm⁻³. Number 10: energy of formation -0.285 eV/atom, ρ 7.237 g cm⁻³. Number 11: energy of formation -0.223 eV/atom, ρ 7.367 g cm⁻³. Number 12: energy of formation 0.011 eV/atom, ρ 7.957 g cm⁻³. Number 13: energy of formation -0.293 eV/atom, ρ 7.937 g cm⁻³. Number 14: energy of formation -0.156 eV/atom, ρ 8.087 g cm⁻³. Number 15: energy of formation -0.356 eV/atom, ρ 7.662 g cm⁻³. Number 16: energy of formation -0.177 eV/atom, ρ 7.871 g cm⁻³. Number 17: energy of formation -0.324 eV/atom, ρ 8.653 g cm⁻³. Number 18: energy of formation -0.116 eV/atom, ρ 7.033 g cm⁻³. Number 19: energy of formation -0.276 eV/atom, ρ 7.450 g cm⁻³. Number 20: energy of formation -0.306 eV/atom, ρ 7.826 g cm⁻³.